HoErSc3: relaxed, GGA-PBE.

```
HoErSc3
1.0
6.2082 -0.1346 -0.1904
2.9578 5.4619 0.6659
2.8795 -0.8812 7.6541
Ho Sc Er
2 6 2
direct
0.0132 0.8869 0.7075
0.4134 0.3095 0.7714
0.5215 0.9550 0.4877
0.0605 0.9513 0.3110
0.3657 0.2451 0.1683
0.8805 0.7152 0.1126
0.5458 0.4813 0.3665
0.9049 0.2415 0.9913
0.9696 0.4461 0.5467
0.4568 0.7504 0.9324
```

Summary:
ΔE_f, eV/f.u.: 0.2

HoEr3Sc5: relaxed, GGA-PBE.

```
HoEr3Sc5
1.0
-3.0180 1.7398 7.5508
4.5850 -6.1315 3.2454
4.5255 6.7354 -4.3221
Ho Er Sc
2 6 10
direct
0.7500 0.2500 0.5000
0.2500 0.7500 0.5000
0.8814 0.6186 0.0000
0.6186 0.1186 0.0000
0.7500 0.7500 0.5000
0.2500 0.2500 0.5000
0.1186 0.3814 0.0000
0.3814 0.8814 0.0000
0.5708 0.6600 0.7308
0.0000 0.0000 0.0000
0.9292 0.4292 0.2692
0.5000 0.5000 0.0000
0.0708 0.5708 0.7308
0.8400 0.9292 0.2692
0.4292 0.3400 0.2692
0.1600 0.0708 0.7308
0.6600 0.1600 0.7308
0.3400 0.8400 0.2692
```

Summary:
ΔE_f, eV/f.u.: 2.7

HoEr5Sc6: relaxed, GGA-PBE.

```
HoEr5Sc6
1.0
-9.8116 5.2205 0.1207
-2.5410 -2.6665 4.5930
0.6527 2.2092 5.4170
Er Sc Ho
5 6 1
direct
0.5000 0.1667 0.6666
0.5000 0.8333 0.3334
0.0000 0.6667 0.6666
0.5000 0.5000 0.0000
0.0000 0.3333 0.3334
0.7499 0.0833 0.3334
0.2501 0.5834 0.3334
0.7499 0.4166 0.6666
0.2501 0.2501 0.0000
0.2501 0.9167 0.6666
0.7499 0.7499 0.0000
0.0000 0.0000 0.0000
```

Summary:
ΔE_f, eV/f.u.: 0.7